A plane-wave DFT calculation with PBE-GGA was carried out for TlCd2Fe after structural relaxation.

Geometry as POSCAR:
```
TlCd2Fe
1.0
6.655 0.004 0.006
4.306 5.075 -0.006
-4.975 -3.630 2.522
Cd Tl Fe
2 1 1
direct
0.947 0.947 0.000 Cd
0.553 0.553 0.000 Cd
0.250 0.750 0.500 Tl
0.750 0.250 0.500 Fe
```

energy relative to the elements	0.29	eV/atom
theoretical density	9.47	g cm⁻³
offset from the most stable computed form	16.9	meV per atom
total magnetization	2.4	μB/f.u.
Fermi-level density of states	3.25	states/eV/f.u.
final energy	-2.870	eV per atom
crystal system	orthorhombic
space group	No. 71

A plane-wave DFT calculation with PBE-GGA was carried out for TlCd2Fe after structural relaxation.

Geometry as POSCAR:
```
TlCd2Fe
1.0
4.904 0.000 0.000
2.452 4.247 0.000
2.452 1.416 4.004
Cd Tl Fe
2 1 1
direct
0.000 0.000 0.000 Cd
0.250 0.250 0.250 Cd
0.750 0.750 0.750 Tl
0.500 0.500 0.500 Fe
```

energy relative to the elements	0.50	eV/atom
theoretical density	9.66	g cm⁻³
offset from the most stable computed form	219.1	meV per atom
total magnetization	2.7	μB/f.u.
Fermi-level density of states	4.46	states/eV/f.u.
final energy	-2.668	eV per atom
crystal system	cubic
space group	No. 216

A plane-wave DFT calculation with PBE-GGA was carried out for TlCdFe after structural relaxation.

Geometry as POSCAR:
```
TlCdFe
1.0
-3.977 5.606 -0.420
-6.009 3.361 -0.039
-0.341 0.810 2.924
Cd Tl Fe
1 1 1
direct
0.978 0.978 0.022 Cd
0.683 0.683 0.317 Tl
0.339 0.339 0.661 Fe
```

energy relative to the elements	0.47	eV/atom
theoretical density	10.15	g cm⁻³
offset from the most stable computed form	0.0	meV per atom
total magnetization	2.8	μB/f.u.
Fermi-level density of states	2.74	states/eV/f.u.
final energy	-3.448	eV per atom
crystal system	tetragonal
space group	No. 107